No. 1
# HgI2O6 (GGA-PBEsol, optimized geometry)
# * calculated volume: 15.26 A^3/atom
# * DOS at the Fermi energy: 0.0 states/eV/cell
# * total magnetic moment: 0.000 μB/atom
# * formation energy without anion corrections: -0.368 eV/atom
data_HgI2O6
_cell_length_a 5.7146
_cell_length_b 5.5547
_cell_length_c 8.8557
_cell_angle_alpha 90.00
_cell_angle_beta 102.23
_cell_angle_gamma 90.00
_symmetry_space_group_name_H-M 'P 1 21 1'
_symmetry_Int_Tables_number 4
loop_
_symmetry_equiv_pos_as_xyz
'x,y,z'
'-x,y+1/2,-z'
loop_
_atom_site_label
_atom_site_type_symbol
_atom_site_fract_x
_atom_site_fract_y
_atom_site_fract_z
Hg1 Hg 0.0824 0.0000 0.1715
I1 I 0.2705 0.4780 0.5699
I2 I 0.4432 0.5248 0.1550
O1 O 0.0174 0.6762 0.5784
O2 O 0.1680 0.3463 0.0726
O3 O 0.2259 0.3150 0.7463
O4 O 0.3223 0.6777 0.3107
O5 O 0.3404 0.7692 0.0157
O6 O 0.4871 0.1858 0.3403

---

No. 2
# TcOs2F (GGA-PBEsol, optimized geometry)
# * calculated volume: 13.15 A^3/atom
# * DOS at the Fermi energy: 17.5 states/eV/cell
# * total magnetic moment: 0.000 μB/atom
# * formation energy without anion corrections: 0.505 eV/atom
data_TcOs2F
_cell_length_a 5.9475
_cell_length_b 5.9475
_cell_length_c 5.9475
_cell_angle_alpha 90.00
_cell_angle_beta 90.00
_cell_angle_gamma 90.00
_symmetry_space_group_name_H-M 'F m -3 m'
_symmetry_Int_Tables_number 225
_symmetry_space_group_name_Hall '-F 4 2 3'
loop_
_atom_site_label
_atom_site_type_symbol
_atom_site_fract_x
_atom_site_fract_y
_atom_site_fract_z
Tc1 Tc 0.0000 0.0000 0.0000
Os1 Os 0.2500 0.2500 0.2500
F1 F 0.0000 0.0000 0.5000